Pr3MgPd4: optimized geometry, GGA-PBE.

a = 4.025 Å, b = 6.571 Å, c = 15.181 Å
α = 90.00°, β = 90.00°, γ = 90.00°
Space group Immm (No. 71)
One atom of each set of equivalent atoms:
Pr1 0.000 0.000 0.000
Pr2 0.000 0.500 0.196
Mg1 0.000 0.000 0.500
Pd1 0.000 0.291 0.377

Values from the calculation:
total magnetization: 0.000 μB per cell
energy of formation: -0.638 eV/atom